# 1
A plane-wave DFT calculation with PBE was carried out for a relaxed structure of Lu2PuPd.

Summary:
Fermi-level density of states: 7.7 states/eV/f.u.
Spin magnetization: 1.648 μB per atom
Excess energy over the best structure of this formula in the dataset: 0.000 eV per atom
Energy of formation from the pure elements: -396 meV/atom

Structure (CIF):
```
data_Lu2PuPd
_chemical_formula_sum 'Lu2 Pu1 Pd1'
_symmetry_space_group_name_H-M 'P 4/m m m'
_symmetry_Int_Tables_number 123
_symmetry_space_group_name_Hall '-P 4 2'
_cell_length_a 3.442
_cell_length_b 3.442
_cell_length_c 8.308
_cell_angle_alpha 90.00
_cell_angle_beta 90.00
_cell_angle_gamma 90.00
loop_
_atom_site_label
_atom_site_fract_x
_atom_site_fract_y
_atom_site_fract_z
_atom_site_occupancy
Lu1 0.000 0.000 0.201 1
Pu1 0.500 0.500 0.500 1
Pd1 0.500 0.500 0.000 1
```

# 2
A plane-wave DFT calculation with PBE was carried out for a relaxed structure of MgGe2IO.

Summary:
Formation energy without anion corrections: -0.27 eV/f.u.
Fermi-level density of states: 2.4 states/eV/f.u.
Spin magnetization: 0.000 μB per atom

Structure (CIF):
```
data_MgGe2IO
_chemical_formula_sum 'Mg1 Ge2 I1 O1'
_symmetry_space_group_name_H-M 'P 4/m m m'
_symmetry_Int_Tables_number 123
_symmetry_space_group_name_Hall '-P 4 2'
_cell_length_a 5.484
_cell_length_b 5.484
_cell_length_c 3.739
_cell_angle_alpha 90.00
_cell_angle_beta 90.00
_cell_angle_gamma 90.00
loop_
_atom_site_label
_atom_site_fract_x
_atom_site_fract_y
_atom_site_fract_z
_atom_site_occupancy
Mg1 0.000 0.000 0.000 1
Ge1 0.000 0.500 0.000 1
I1 0.500 0.500 0.500 1
O1 0.000 0.000 0.500 1
```

# 3
A plane-wave DFT calculation with PBE was carried out for a relaxed structure of NdSbH2.

Summary:
Fermi-level density of states: 1.2 states/eV/f.u.
Spin magnetization: 0.000 μB per atom
E_tot: -51.4 eV/cell

Structure (CIF):
```
data_NdSbH2
_chemical_formula_sum 'Nd3 Sb3 H6'
_symmetry_space_group_name_H-M 'R -3 m'
_symmetry_Int_Tables_number 166
_symmetry_space_group_name_Hall '-R 3 2"'
_cell_length_a 3.7590
_cell_length_b 3.7590
_cell_length_c 16.8826
_cell_angle_alpha 90.00
_cell_angle_beta 90.00
_cell_angle_gamma 120.00
loop_
_atom_site_label
_atom_site_fract_x
_atom_site_fract_y
_atom_site_fract_z
_atom_site_occupancy
Nd1 0.0000 0.0000 0.0000 1
Sb1 0.0000 0.0000 0.5000 1
H1 0.0000 0.0000 0.3006 1
```

# 4
A plane-wave DFT calculation with PBE was carried out for a relaxed structure of PaNi2Rh.

Summary:
Fermi-level density of states: 0.9 states/eV/f.u.
Spin magnetization: 0.000 μB per atom
Excess energy over the best structure of this formula in the dataset: 0.000 eV per atom
Energy of formation from the pure elements: -638 meV/atom

Structure (CIF):
```
data_PaNi2Rh
_chemical_formula_sum 'Pa1 Ni2 Rh1'
_symmetry_space_group_name_H-M 'P 4/m m m'
_symmetry_Int_Tables_number 123
_symmetry_space_group_name_Hall '-P 4 2'
_cell_length_a 3.919
_cell_length_b 3.919
_cell_length_c 3.980
_cell_angle_alpha 90.00
_cell_angle_beta 90.00
_cell_angle_gamma 90.00
loop_
_atom_site_label
_atom_site_fract_x
_atom_site_fract_y
_atom_site_fract_z
_atom_site_occupancy
Pa1 0.000 0.000 0.000 1
Ni1 0.000 0.500 0.500 1
Rh1 0.500 0.500 0.000 1
```

# 5
A plane-wave DFT calculation with PBE was carried out for a relaxed structure of ZnI2N2.

Summary:
Formation energy without anion corrections: 8.08 eV/f.u.
Fermi-level density of states: 3.6 states/eV/f.u.
Spin magnetization: 0.143 μB per atom
Excess energy over the best structure of this formula in the dataset: 1.891 eV per atom

Structure (CIF):
```
data_ZnI2N2
_chemical_formula_sum 'Zn1 I2 N2'
_symmetry_space_group_name_H-M 'P 4/m m m'
_symmetry_Int_Tables_number 123
_symmetry_space_group_name_Hall '-P 4 2'
_cell_length_a 4.090
_cell_length_b 4.090
_cell_length_c 8.195
_cell_angle_alpha 90.00
_cell_angle_beta 90.00
_cell_angle_gamma 90.00
loop_
_atom_site_label
_atom_site_fract_x
_atom_site_fract_y
_atom_site_fract_z
_atom_site_occupancy
Zn1 0.000 0.000 0.000 1
I1 0.500 0.500 0.000 1
I2 0.500 0.500 0.500 1
N1 0.000 0.500 0.500 1
```

# 6
A plane-wave DFT calculation with PBE was carried out for a relaxed structure of Ac3Pr2YS6.

Summary:
Formation energy without anion corrections: -24.04 eV/f.u.
Fermi-level density of states: 5.6 states/eV/f.u.
Spin magnetization: 0.000 μB per atom

Structure (CIF):
```
data_Ac3Pr2YS6
_chemical_formula_sum 'Ac6 Pr4 Y2 S12'
_symmetry_space_group_name_H-M 'C 1 2/m 1'
_symmetry_Int_Tables_number 12
_symmetry_space_group_name_Hall '-C 2y'
_cell_length_a 7.206
_cell_length_b 12.503
_cell_length_c 7.262
_cell_angle_alpha 90.00
_cell_angle_beta 109.43
_cell_angle_gamma 90.00
loop_
_atom_site_label
_atom_site_fract_x
_atom_site_fract_y
_atom_site_fract_z
_atom_site_occupancy
Ac1 0.000 0.000 0.000 1
Ac2 0.000 0.330 0.000 1
Pr1 0.000 0.167 0.500 1
Y1 0.000 0.500 0.500 1
S1 0.238 0.338 0.730 1
S2 0.245 0.500 0.265 1
```

# 7
A plane-wave DFT calculation with PBE was carried out for a relaxed structure of LaSb2P2.

Summary:
Formation energy without anion corrections: -1.02 eV/f.u.
Fermi-level density of states: 2.7 states/eV/f.u.
Spin magnetization: 0.000 μB per atom
Excess energy over the best structure of this formula in the dataset: 0.219 eV per atom

Structure (CIF):
```
data_LaSb2P2
_chemical_formula_sum 'La2 Sb4 P4'
_symmetry_space_group_name_H-M 'P 4/n m m'
_symmetry_Int_Tables_number 129
_cell_length_a 5.363
_cell_length_b 5.363
_cell_length_c 9.306
_cell_angle_alpha 90.00
_cell_angle_beta 90.00
_cell_angle_gamma 90.00
loop_
_symmetry_equiv_pos_as_xyz
'x,y,z'
'-x,-y,-z'
'-y+1/2,x,z'
'y+1/2,-x,-z'
'-x+1/2,-y+1/2,z'
'x+1/2,y+1/2,-z'
'y,-x+1/2,z'
'-y,x+1/2,-z'
'x+1/2,-y,-z'
'-x+1/2,y,z'
'-y,-x,-z'
'y,x,z'
'-x,y+1/2,-z'
'x,-y+1/2,z'
'y+1/2,x+1/2,-z'
'-y+1/2,-x+1/2,z'
loop_
_atom_site_label
_atom_site_fract_x
_atom_site_fract_y
_atom_site_fract_z
_atom_site_occupancy
La1 0.250 0.250 0.240 1
Sb1 0.250 0.250 0.901 1
Sb2 0.250 0.750 0.500 1
P1 0.250 0.250 0.546 1
P2 0.250 0.750 0.000 1
```

# 8
A plane-wave DFT calculation with PBE was carried out for a relaxed structure of Si3SnCl.

Summary:
Formation energy without anion corrections: 6.14 eV/f.u.
Fermi-level density of states: 6.4 states/eV/f.u.
Spin magnetization: 0.000 μB per atom
Excess energy over the best structure of this formula in the dataset: 0.208 eV per atom

Structure (CIF):
```
data_Si3SnCl
_chemical_formula_sum 'Si3 Sn1 Cl1'
_symmetry_space_group_name_H-M 'P m -3 m'
_symmetry_Int_Tables_number 221
_symmetry_space_group_name_Hall '-P 4 2 3'
_cell_length_a 5.290
_cell_length_b 5.290
_cell_length_c 5.290
_cell_angle_alpha 90.00
_cell_angle_beta 90.00
_cell_angle_gamma 90.00
loop_
_atom_site_label
_atom_site_fract_x
_atom_site_fract_y
_atom_site_fract_z
_atom_site_occupancy
Si1 0.000 0.000 0.500 1
Sn1 0.000 0.000 0.000 1
Cl1 0.500 0.500 0.500 1
```